[1]
CaPm8Pt6: optimized geometry, GGA-PBE.

The value obtained for the energy is -0.441 Ry/atom. Its total magnetization is 0.0 Bohr magnetons per cell.

The space group is R-3 (No. 148, hexagonal axes) and the conventional cell measures 8.6568, 8.6568 and 18.5663 Å, with angles of 90.00, 90.00 and 120.00 degrees. The distinct sites, in fractional coordinates, are Ca at (0.0000, 0.0000, 0.0000), Pm at (0.0000, 0.0000, 0.3304), Pm at (0.0056, 0.3247, 0.1099) and Pt at (0.0014, 0.3449, 0.9371).

[2]
CaPm2Pt3: optimized geometry, GGA-PBE.

The value obtained for the energy is -0.440 Ry/atom. Its total magnetization is 0.0 Bohr magnetons per cell.

The space group is P4/mmm (No. 123) and the conventional cell measures 3.541, 3.541 and 10.811 Å, with angles of 90.00, 90.00 and 90.00 degrees. The distinct sites, in fractional coordinates, are Ca at (0.000, 0.000, 0.000), Pm at (0.000, 0.000, 0.329), Pt at (0.500, 0.500, 0.174) and Pt at (0.500, 0.500, 0.500).

[3]
Ca2PmPt3: optimized geometry, GGA-PBE.

The value obtained for the energy is -0.402 Ry/atom. Its total magnetization is 0.0 Bohr magnetons per cell.

The space group is P-3m1 (No. 164) and the conventional cell measures 4.9938, 4.9938 and 6.0778 Å, with angles of 90.00, 90.00 and 120.00 degrees. The distinct sites, in fractional coordinates, are Ca at (0.3333, 0.6667, 0.1540), Pm at (0.0000, 0.0000, 0.5000), Pt at (0.0000, 0.0000, 0.0000) and Pt at (0.3333, 0.6667, 0.6491).

[4]
CaPmPt2: optimized geometry, GGA-PBE.

The value obtained for the energy is -0.424 Ry/atom. Its total magnetization is 0.0 Bohr magnetons per cell.

The space group is Pm (No. 6) and the conventional cell measures 3.947, 4.420 and 5.751 Å, with angles of 90.00, 109.99 and 90.00 degrees. The distinct sites, in fractional coordinates, are Ca at (0.000, 0.000, 0.000), Pm at (0.719, 0.500, 0.438), Pt at (0.278, 0.000, 0.553) and Pt at (0.441, 0.500, 0.883).

no.,ΔE_f (meV/atom)
1,-922
2,-1047
3,-986
4,-1054